The following is a DFT calculation (PBE) of a relaxed structure of TbCd3Pt4.

abc: 9.755 6.066 5.002
angles: 90.00 90.00 90.00
Fractional coordinates of all 16 atoms:
Tb 0.000 0.000 0.000
Tb 0.500 0.000 0.000
Cd 0.000 0.500 0.000
Cd 0.250 0.000 0.418
Cd 0.250 0.500 0.398
Cd 0.500 0.500 0.000
Cd 0.750 0.000 0.582
Cd 0.750 0.500 0.602
Pt 0.000 0.256 0.500
Pt 0.000 0.744 0.500
Pt 0.250 0.261 0.894
Pt 0.250 0.739 0.894
Pt 0.500 0.256 0.500
Pt 0.500 0.744 0.500
Pt 0.750 0.261 0.106
Pt 0.750 0.739 0.106

Energy of formation from the pure elements in meV/atom: -577
Magnetization in μB/f.u.: 0.00

***

The following is a DFT calculation (PBE) of a relaxed structure of Ho2Ga3Tc.

abc: 5.386 5.386 5.386
angles: 61.23 61.23 61.23
Fractional coordinates of all 6 atoms:
Ho 0.129 0.129 0.129
Ho 0.871 0.871 0.871
Ga 0.000 0.500 0.500
Ga 0.500 0.000 0.500
Ga 0.500 0.500 0.000
Tc 0.500 0.500 0.500

Energy of formation from the pure elements in meV/atom: -529
ΔE to the lowest computed polymorph in eV/atom: 0.000
Magnetization in μB/f.u.: 0.00

***

Record order is preserved below.
Calculated density: 14.32; 9.32 g/cm3